1.
Below is YPbCl3 after structural relaxation, with properties calculated at the GGA-PBE level.

energy relative to the lowest polymorph listed for this composition	0	meV/atom
density of states at the Fermi level	1.0790	states/eV per atom
mass density	4.41	Mg/m³
volume	152	Å³ per cell

```
data_YPbCl3
_chemical_formula_sum 'Y1 Pb1 Cl3'
_cell_length_a 5.332
_cell_length_b 5.332
_cell_length_c 5.332
_cell_angle_alpha 90.00
_cell_angle_beta 90.00
_cell_angle_gamma 90.00
_space_group_name_H-M_alt 'P m -3 m'
_space_group_IT_number 221
_space_group_name_Hall '-P 4 2 3'
loop_
_atom_site_label
_atom_site_type_symbol
_atom_site_fract_x
_atom_site_fract_y
_atom_site_fract_z
Y1 Y 0.000 0.000 0.000
Pb1 Pb 0.500 0.500 0.500
Cl1 Cl 0.000 0.000 0.500
```


2.
Below is Y2PbCl after structural relaxation, with properties calculated at the GGA-PBE level.

energy relative to the lowest polymorph listed for this composition	170	meV/atom
density of states at the Fermi level	0.7090	states/eV per atom
mass density	6.32	Mg/m³
volume	221	Å³ per cell

```
data_Y2PbCl
_chemical_formula_sum 'Y4 Pb2 Cl2'
_cell_length_a 3.852
_cell_length_b 6.457
_cell_length_c 8.889
_cell_angle_alpha 90.00
_cell_angle_beta 90.00
_cell_angle_gamma 90.00
_space_group_name_H-M_alt 'I m m m'
_space_group_IT_number 71
_space_group_name_Hall '-I 2 2'
loop_
_atom_site_label
_atom_site_type_symbol
_atom_site_fract_x
_atom_site_fract_y
_atom_site_fract_z
Y1 Y 0.000 0.000 0.211
Pb1 Pb 0.000 0.500 0.000
Cl1 Cl 0.000 0.500 0.500
```


no.,uncorrected energy (eV per atom),formation energy from raw total energies (meV/atom),spin magnetization (μB per formula unit)
1,-4.365,-1222,0.19
2,-5.416,-795,0.00